w.
First-principles (PBE-GGA) data for Pm6Y2Er after structural relaxation, as listed in Alexandria.

Values from the calculation:
As for the crystal system: monoclinic. The density of states at the Fermi level comes out at 1.407 states/eV per atom.

Lattice parameters (Å, degrees): 15.3621 5.1143 8.0901 90.00 108.52 90.00
Closest atoms and distances in Å follow each position.
Space group C2/m (No. 12)
Inequivalent atoms, fractional coordinates:
Pm: 0.0552 0.0000 0.3329 [4 per cell]  6 Pm 3.60-3.63, 4 Y 3.61-3.63, 2 Er 3.61
Pm: 0.1653 0.0000 0.9999 [4 per cell]  7 Pm 3.60-3.65, 2 Er 3.60, 3 Y 3.61-3.63
Pm: 0.2219 0.5000 0.3329 [4 per cell]  1 Er 3.61, 8 Pm 3.61-3.63, 3 Y 3.63
Y: 0.1110 0.5000 0.6683 [4 per cell]  10 Pm 3.61-3.63, 1 Er 3.61, 1 Y 3.63
Er: 0.0000 0.5000 0.0000 [2 per cell]  10 Pm 3.60-3.61, 2 Y 3.61

x.
First-principles (PBE-GGA) data for Pm6Y2Er after structural relaxation, as listed in Alexandria.

Values from the calculation:
As for the crystal system: orthorhombic. The density of states at the Fermi level comes out at 1.366 states/eV per atom.

Lattice parameters (Å, degrees): 9.3878 17.6450 3.6704 90.00 90.00 90.00
Closest atoms and distances in Å follow each position.
Space group Cmmm (No. 65)
Inequivalent atoms, fractional coordinates:
Pm: 0.1756 0.1647 0.0000 [8 per cell]  6 Pm 3.30-3.67, 2 Y 3.56
Pm: 0.1854 0.0000 0.5000 [4 per cell]  7 Pm 3.44-3.67, 2 Er 3.48
Y: 0.0000 0.3232 0.5000 [4 per cell]  8 Pm 3.56-3.73, 2 Er 3.62, 2 Y 3.67
Er: 0.0000 0.5000 0.0000 [2 per cell]  4 Pm 3.48, 4 Y 3.62, 2 Er 3.67

Which of them is least stable? Easy: x.

w.
First-principles (PBE-GGA) data for PmY3Er7 after structural relaxation, as listed in Alexandria.

Values from the calculation:
As for the crystal system: monoclinic. The density of states at the Fermi level comes out at 1.730 states/eV per atom.

Lattice parameters (Å, degrees): 6.9486 5.5110 9.8802 90.00 110.24 90.00
Closest atoms and distances in Å follow each position.
Space group P2/m (No. 10)
Inequivalent atoms, fractional coordinates:
Pm: 0.0000 0.0000 0.0000 [1 per cell]  2 Y 3.47, 10 Er 3.53-3.79
Y: 0.2779 0.5000 0.4983 [2 per cell]  1 Y 3.08, 4 Er 3.32-3.37
Y: 0.5000 0.0000 0.0000 [1 per cell]  2 Pm 3.47, 10 Er 3.51-3.79
Er: 0.0000 0.0000 0.5000 [1 per cell]  4 Y 3.37
Er: 0.1473 0.5000 0.7915 [2 per cell]  3 Er 3.26-3.55, 2 Y 3.32-3.33
Er: 0.3231 0.5000 0.1428 [2 per cell]  5 Er 3.26-3.55, 3 Y 3.51-3.63, 2 Pm 3.53
Er: 0.4200 0.0000 0.3314 [2 per cell]  3 Er 3.13-3.26

x.
First-principles (PBE-GGA) data for PmY3Er7 after structural relaxation, as listed in Alexandria.

Values from the calculation:
As for the crystal system: monoclinic. The density of states at the Fermi level comes out at 1.590 states/eV per atom.

Lattice parameters (Å, degrees): 12.5650 11.1181 5.7546 90.00 117.17 90.00
Closest atoms and distances in Å follow each position.
Space group C2/m (No. 12)
Inequivalent atoms, fractional coordinates:
Pm: 0.0000 0.0000 0.0000 [2 per cell]  2 Er 2.88
Y: 0.0000 0.2943 0.5000 [4 per cell]  5 Er 3.27-3.45
Y: 0.0000 0.5000 0.0000 [2 per cell]  4 Er 3.17
Er: 0.0000 0.0000 0.5000 [2 per cell]  2 Pm 2.88
Er: 0.2073 0.3054 0.2071 [8 per cell]  2 Y 3.17-3.45, 3 Er 3.27-3.52
Er: 0.2090 0.5000 0.7081 [4 per cell]  1 Pm 3.25, 2 Y 3.27, 6 Er 3.52-3.60

Which of them is least stable? Easy: x.

w.
First-principles (PBE-GGA) data for Pm7Y12Er after structural relaxation, as listed in Alexandria.

Values from the calculation:
As for the crystal system: trigonal. The density of states at the Fermi level comes out at 1.909 states/eV per atom.

Lattice parameters (Å, degrees): 12.0334 12.0334 16.3524 90.00 90.00 120.00
Closest atoms and distances in Å follow each position.
Space group R-3 (No. 148, hexagonal axes)
Inequivalent atoms, fractional coordinates:
Pm: 0.0000 0.0000 0.0000 [3 per cell]  6 Y 3.30
Pm: 0.0561 0.1881 0.2906 [18 per cell]  3 Pm 3.46-3.49, 7 Y 3.50-3.83
Y: 0.0266 0.4503 0.2210 [18 per cell]  4 Y 3.31-3.63, 1 Er 3.40, 2 Pm 3.53-3.63
Y: 0.0532 0.5856 0.5832 [18 per cell]  5 Y 3.26-3.63, 2 Pm 3.30-3.50
Er: 0.0000 0.0000 0.5000 [3 per cell]  6 Y 3.40

x.
First-principles (PBE-GGA) data for Pm7Y12Er after structural relaxation, as listed in Alexandria.

Values from the calculation:
As for the crystal system: cubic. The density of states at the Fermi level comes out at 1.352 states/eV per atom.

Lattice parameters (Å, degrees): 11.3175 11.3175 11.3175 90.00 90.00 90.00
Closest atoms and distances in Å follow each position.
Space group Im-3m (No. 229)
Inequivalent atoms, fractional coordinates:
Pm: 0.0000 0.0000 0.5000 [6 per cell]  12 Y 4.00-4.05
Pm: 0.2500 0.2500 0.2500 [8 per cell]  6 Y 2.83
Y: 0.0000 0.2471 0.2471 [24 per cell]  2 Pm 2.83
Er: 0.0000 0.0000 0.0000 [2 per cell]  12 Y 3.95

Which of them is least stable? Easy: x.

w.
First-principles (PBE-GGA) data for Pm6Y8Er after structural relaxation, as listed in Alexandria.

Values from the calculation:
As for the crystal system: trigonal. The density of states at the Fermi level comes out at 1.581 states/eV per atom.

Lattice parameters (Å, degrees): 9.4990 9.4990 6.6184 90.00 90.00 120.00
Closest atoms and distances in Å follow each position.
Space group P-3 (No. 147)
Inequivalent atoms, fractional coordinates:
Pm: 0.0814 0.4053 0.1001 [6 per cell]  1 Pm 3.19, 3 Y 3.23-3.50
Y: 0.0194 0.6944 0.3905 [6 per cell]  3 Pm 3.23-3.50, 4 Y 3.33-3.59
Y: 0.3333 0.6667 0.6571 [2 per cell]  6 Y 3.41-3.59, 3 Pm 3.81
Er: 0.0000 0.0000 0.0000 [1 per cell]  6 Pm 3.59, 6 Y 3.96

x.
First-principles (PBE-GGA) data for Pm6Y8Er after structural relaxation, as listed in Alexandria.

Values from the calculation:
As for the crystal system: trigonal. The density of states at the Fermi level comes out at 1.337 states/eV per atom.

Lattice parameters (Å, degrees): 9.7938 9.7938 17.9326 90.00 90.00 120.00
Closest atoms and distances in Å follow each position.
Space group R-3 (No. 148, hexagonal axes)
Inequivalent atoms, fractional coordinates:
Pm: 0.0423 0.2874 0.1768 [18 per cell]  2 Y 3.10-3.35, 1 Er 3.37, 2 Pm 3.39
Y: 0.0000 0.0000 0.0850 [6 per cell]  1 Y 3.05, 3 Pm 3.10
Y: 0.0604 0.2454 0.6700 [18 per cell]  3 Pm 3.35-3.59, 2 Y 3.63, 1 Er 3.74
Er: 0.0000 0.0000 0.5000 [3 per cell]  6 Pm 3.37, 6 Y 3.74

Which of them is least stable? Easy: w.

w.
First-principles (PBE-GGA) data for Pm2YEr8 after structural relaxation, as listed in Alexandria.

Values from the calculation:
As for the crystal system: monoclinic. The density of states at the Fermi level comes out at 1.366 states/eV per atom.

Lattice parameters (Å, degrees): 9.0352 16.0363 5.8659 90.00 123.76 90.00
Closest atoms and distances in Å follow each position.
Space group C2/m (No. 12)
Inequivalent atoms, fractional coordinates:
Pm: 0.0000 0.1926 0.0000 [4 per cell]  8 Er 3.34-3.49
Y: 0.0000 0.5000 0.5000 [2 per cell]  4 Er 3.32-3.39
Er: 0.0000 0.2929 0.5000 [4 per cell]  1 Y 3.32, 2 Pm 3.34, 6 Er 3.57-3.68
Er: 0.0672 0.0000 0.2950 [4 per cell]  4 Er 2.96-3.24
Er: 0.2148 0.3828 0.1773 [8 per cell]  4 Er 3.20-3.57, 2 Pm 3.45-3.49

x.
First-principles (PBE-GGA) data for Pm2YEr8 after structural relaxation, as listed in Alexandria.

Values from the calculation:
As for the crystal system: monoclinic. The density of states at the Fermi level comes out at 1.553 states/eV per atom.

Lattice parameters (Å, degrees): 16.4796 6.5858 6.6149 90.00 99.98 90.00
Closest atoms and distances in Å follow each position.
Space group C2/m (No. 12)
Inequivalent atoms, fractional coordinates:
Pm: 0.2446 0.0000 0.3112 [4 per cell]  9 Er 3.26-3.53
Y: 0.0000 0.0000 0.0000 [2 per cell]  4 Er 3.29
Er: 0.0872 0.2612 0.4032 [8 per cell]  4 Er 3.14-3.44, 2 Pm 3.26-3.45, 1 Y 3.29
Er: 0.0883 0.5000 0.9042 [4 per cell]  1 Pm 3.31, 8 Er 3.37-3.67, 2 Y 3.70
Er: 0.2008 0.0000 0.8024 [4 per cell]  4 Pm 3.32-3.53, 3 Er 3.42-3.67

Which of them is least stable? Easy: x.